A.
# GGA-PBE AcSbPd4, relaxed
data_AcSbPd4
_chemical_formula_sum 'Ac2 Sb2 Pd8'
_cell_length_a 7.813
_cell_length_b 4.261
_cell_length_c 7.529
_cell_angle_alpha 90.00
_cell_angle_beta 90.00
_cell_angle_gamma 90.00
_space_group_name_H-M_alt 'P m m a'
_space_group_IT_number 51
loop_
_space_group_symop_operation_xyz
'x,y,z'
'-x,-y,-z'
'-x+1/2,-y,z'
'x+1/2,y,-z'
'x+1/2,-y,-z'
'-x+1/2,y,z'
'-x,y,-z'
'x,-y,z'
loop_
_atom_site_label
_atom_site_type_symbol
_atom_site_fract_x
_atom_site_fract_y
_atom_site_fract_z
_atom_site_occupancy
Ac1 Ac 0.250 0.000 0.161 1
Sb1 Sb 0.250 0.000 0.727 1
Pd1 Pd 0.000 0.000 0.500 1
Pd2 Pd 0.045 0.500 0.803 1
Pd3 Pd 0.250 0.500 0.462 1
# * calculated density: 10.3 g/cm3
# * volume: 125 Å³/f.u.

***

B.
# GGA-PBE AcSbPd4, relaxed
data_AcSbPd4
_chemical_formula_sum 'Ac4 Sb4 Pd16'
_cell_length_a 10.628
_cell_length_b 7.481
_cell_length_c 6.652
_cell_angle_alpha 90.00
_cell_angle_beta 104.99
_cell_angle_gamma 90.00
_space_group_name_H-M_alt 'C 1 2/m 1'
_space_group_IT_number 12
loop_
_space_group_symop_operation_xyz
'x,y,z'
'-x,-y,-z'
'-x,y,-z'
'x,-y,z'
'x+1/2,y+1/2,z'
'-x+1/2,-y+1/2,-z'
'-x+1/2,y+1/2,-z'
'x+1/2,-y+1/2,z'
loop_
_atom_site_label
_atom_site_type_symbol
_atom_site_fract_x
_atom_site_fract_y
_atom_site_fract_z
_atom_site_occupancy
Ac1 Ac 0.166 0.000 0.264 1
Sb1 Sb 0.084 0.500 0.281 1
Pd1 Pd 0.000 0.234 0.500 1
Pd2 Pd 0.120 0.309 0.933 1
Pd3 Pd 0.177 0.000 0.759 1
# * calculated density: 10.1 g/cm3
# * volume: 128 Å³/f.u.

***

C.
# GGA-PBE AcSbPd4, relaxed
data_AcSbPd4
_chemical_formula_sum 'Ac4 Sb4 Pd16'
_cell_length_a 7.855
_cell_length_b 7.855
_cell_length_c 7.855
_cell_angle_alpha 90.00
_cell_angle_beta 90.00
_cell_angle_gamma 90.00
_space_group_name_H-M_alt 'F -4 3 m'
_space_group_IT_number 216
_space_group_name_Hall 'F -4 2 3'
loop_
_atom_site_label
_atom_site_type_symbol
_atom_site_fract_x
_atom_site_fract_y
_atom_site_fract_z
_atom_site_occupancy
Ac1 Ac 0.000 0.000 0.000 1
Sb1 Sb 0.250 0.250 0.250 1
Pd1 Pd 0.125 0.125 0.625 1
# * calculated density: 10.6 g/cm3
# * volume: 121 Å³/f.u.

***

Result of the stability comparison: C is the least stable of them.

***

A.
# GGA-PBE AcSbPd, relaxed
data_AcSbPd
_chemical_formula_sum 'Ac2 Sb2 Pd2'
_cell_length_a 4.7111
_cell_length_b 4.7111
_cell_length_c 8.6238
_cell_angle_alpha 90.00
_cell_angle_beta 90.00
_cell_angle_gamma 120.00
_space_group_name_H-M_alt 'P 63/m m c'
_space_group_IT_number 194
_space_group_name_Hall '-P 6c 2c'
loop_
_atom_site_label
_atom_site_type_symbol
_atom_site_fract_x
_atom_site_fract_y
_atom_site_fract_z
_atom_site_occupancy
Ac1 Ac 0.0000 0.0000 0.0000 1
Sb1 Sb 0.3333 0.6667 0.2500 1
Pd1 Pd 0.3333 0.6667 0.7500 1
# * calculated density: 9.1 g/cm3
# * volume: 83 Å³/f.u.

***

B.
# GGA-PBE AcSbPd, relaxed
data_AcSbPd
_chemical_formula_sum 'Ac1 Sb1 Pd1'
_cell_length_a 4.6779
_cell_length_b 4.6779
_cell_length_c 4.3953
_cell_angle_alpha 90.00
_cell_angle_beta 90.00
_cell_angle_gamma 120.00
_space_group_name_H-M_alt 'P -6 m 2'
_space_group_IT_number 187
_space_group_name_Hall 'P -6 2'
loop_
_atom_site_label
_atom_site_type_symbol
_atom_site_fract_x
_atom_site_fract_y
_atom_site_fract_z
_atom_site_occupancy
Ac1 Ac 0.0000 0.0000 0.0000 1
Sb1 Sb 0.3333 0.6667 0.5000 1
Pd1 Pd 0.6667 0.3333 0.5000 1
# * calculated density: 9.1 g/cm3
# * volume: 83 Å³/f.u.

***

Result of the stability comparison: B is the least stable of them.

***

A.
# GGA-PBE AcSbPd, relaxed
data_AcSbPd
_chemical_formula_sum 'Ac2 Sb2 Pd2'
_cell_length_a 4.822
_cell_length_b 4.822
_cell_length_c 7.252
_cell_angle_alpha 90.00
_cell_angle_beta 90.00
_cell_angle_gamma 90.00
_space_group_name_H-M_alt 'P 4/n m m'
_space_group_IT_number 129
loop_
_space_group_symop_operation_xyz
'x,y,z'
'-x,-y,-z'
'-y+1/2,x,z'
'y+1/2,-x,-z'
'-x+1/2,-y+1/2,z'
'x+1/2,y+1/2,-z'
'y,-x+1/2,z'
'-y,x+1/2,-z'
'x+1/2,-y,-z'
'-x+1/2,y,z'
'-y,-x,-z'
'y,x,z'
'-x,y+1/2,-z'
'x,-y+1/2,z'
'y+1/2,x+1/2,-z'
'-y+1/2,-x+1/2,z'
loop_
_atom_site_label
_atom_site_type_symbol
_atom_site_fract_x
_atom_site_fract_y
_atom_site_fract_z
_atom_site_occupancy
Ac1 Ac 0.250 0.250 0.209 1
Sb1 Sb 0.250 0.250 0.723 1
Pd1 Pd 0.250 0.750 0.500 1
# * calculated density: 9.0 g/cm3
# * volume: 84 Å³/f.u.

***

B.
# GGA-PBE AcSbPd, relaxed
data_AcSbPd
_chemical_formula_sum 'Ac2 Sb2 Pd2'
_cell_length_a 3.712
_cell_length_b 3.712
_cell_length_c 11.561
_cell_angle_alpha 90.00
_cell_angle_beta 90.00
_cell_angle_gamma 90.00
_space_group_name_H-M_alt 'I 4 m m'
_space_group_IT_number 107
_space_group_name_Hall 'I 4 -2'
loop_
_atom_site_label
_atom_site_type_symbol
_atom_site_fract_x
_atom_site_fract_y
_atom_site_fract_z
_atom_site_occupancy
Ac1 Ac 0.000 0.000 0.000 1
Sb1 Sb 0.000 0.000 0.290 1
Pd1 Pd 0.000 0.000 0.680 1
# * calculated density: 9.5 g/cm3
# * volume: 80 Å³/f.u.

***

Result of the stability comparison: B is the least stable of them.

***

A.
# GGA-PBE AcScPd2, relaxed
data_AcScPd2
_chemical_formula_sum 'Ac1 Sc1 Pd2'
_cell_length_a 3.502
_cell_length_b 3.502
_cell_length_c 7.318
_cell_angle_alpha 90.00
_cell_angle_beta 90.00
_cell_angle_gamma 90.00
_space_group_name_H-M_alt 'P 4/m m m'
_space_group_IT_number 123
_space_group_name_Hall '-P 4 2'
loop_
_atom_site_label
_atom_site_type_symbol
_atom_site_fract_x
_atom_site_fract_y
_atom_site_fract_z
_atom_site_occupancy
Ac1 Ac 0.000 0.000 0.000 1
Sc1 Sc 0.000 0.000 0.500 1
Pd1 Pd 0.500 0.500 0.298 1
# * calculated density: 9.0 g/cm3
# * volume: 90 Å³/f.u.

***

B.
# GGA-PBE AcScPd2, relaxed
data_AcScPd2
_chemical_formula_sum 'Ac4 Sc4 Pd8'
_cell_length_a 7.189
_cell_length_b 7.189
_cell_length_c 7.189
_cell_angle_alpha 90.00
_cell_angle_beta 90.00
_cell_angle_gamma 90.00
_space_group_name_H-M_alt 'F m -3 m'
_space_group_IT_number 225
_space_group_name_Hall '-F 4 2 3'
loop_
_atom_site_label
_atom_site_type_symbol
_atom_site_fract_x
_atom_site_fract_y
_atom_site_fract_z
_atom_site_occupancy
Ac1 Ac 0.000 0.000 0.000 1
Sc1 Sc 0.000 0.000 0.500 1
Pd1 Pd 0.250 0.250 0.250 1
# * calculated density: 8.7 g/cm3
# * volume: 93 Å³/f.u.

***

C.
# GGA-PBE AcScPd2, relaxed
data_AcScPd2
_chemical_formula_sum 'Ac3 Sc3 Pd6'
_cell_length_a 4.6023
_cell_length_b 4.6023
_cell_length_c 15.9525
_cell_angle_alpha 90.00
_cell_angle_beta 90.00
_cell_angle_gamma 120.00
_space_group_name_H-M_alt 'R -3 m'
_space_group_IT_number 166
_space_group_name_Hall '-R 3 2"'
loop_
_atom_site_label
_atom_site_type_symbol
_atom_site_fract_x
_atom_site_fract_y
_atom_site_fract_z
_atom_site_occupancy
Ac1 Ac 0.0000 0.0000 0.0000 1
Sc1 Sc 0.0000 0.0000 0.5000 1
Pd1 Pd 0.0000 0.0000 0.2125 1
# * calculated density: 8.3 g/cm3
# * volume: 98 Å³/f.u.

***

Result of the stability comparison: B is the least stable of them.